Here is a relaxed V4As2H crystal from the Alexandria database. Energies are from PBE.

Results
The space-group type is I4/mmm, No. 139. The density of states at the Fermi level comes out at 6.78 states/eV/f.u. As for the crystal system: tetragonal. The final energy comes out at -51.71 eV/cell.

Lattice parameters (Å, degrees): 6.905 6.905 6.905 148.73 148.73 44.81
Sites, in units of the cell vectors:
V1 0.000 0.500 0.500
V2 0.162 0.162 0.000
V3 0.500 0.000 0.500
V4 0.838 0.838 0.000
As1 0.357 0.357 0.000
As2 0.643 0.643 0.000
H1 0.000 0.000 0.000